No. 1
SmTmTe2: relaxed, PBE-GGA.

formation energy (no corrections)	-1.28	eV per atom
SG	R-3m, No. 166
Fermi-level density of states	2.2	states/eV/f.u.
raw total energy	-61.80	eV per cell

Cell: 4.321 4.321 21.946 Å, 90.00 90.00 120.00°
Atoms (fractional coordinates):
Sm1 0.000 0.000 0.000
Sm2 0.333 0.667 0.667
Sm3 0.667 0.333 0.333
Tm1 0.000 0.000 0.500
Tm2 0.333 0.667 0.167
Tm3 0.667 0.333 0.833
Te1 0.000 0.000 0.246
Te2 0.000 0.000 0.754
Te3 0.333 0.667 0.421
Te4 0.333 0.667 0.912
Te5 0.667 0.333 0.088
Te6 0.667 0.333 0.579



No. 2
InRu4Se: relaxed, PBE-GGA.

formation energy (no corrections)	0.63	eV per atom
SG	F-43m, No. 216
Fermi-level density of states	10.0	states/eV/f.u.
raw total energy	-39.57	eV per cell

Cell: 5.204 5.204 5.204 Å, 60.00 60.00 60.00°
Atoms (fractional coordinates):
In1 0.000 0.000 0.000
Ru1 0.127 0.624 0.624
Ru2 0.624 0.127 0.624
Ru3 0.624 0.624 0.127
Ru4 0.624 0.624 0.624
Se1 0.250 0.250 0.250



No. 3
AlH6N2F3: relaxed, PBE-GGA.

SG	C2/m, No. 12
Fermi-level density of states	0.0	states/eV/f.u.
raw total energy	-63.87	eV per cell

Cell: 5.247 5.247 7.146 Å, 128.14 128.14 42.57°
Atoms (fractional coordinates):
Al1 0.000 0.000 0.000
H1 0.122 0.546 0.252
H2 0.323 0.323 0.442
H3 0.454 0.878 0.748
H4 0.546 0.122 0.252
H5 0.677 0.677 0.558
H6 0.878 0.454 0.748
N1 0.274 0.274 0.264
N2 0.726 0.726 0.736
F1 0.014 0.014 0.761
F2 0.500 0.500 0.000
F3 0.986 0.986 0.239



No. 4
Tm4HPb2: relaxed, PBE-GGA.

SG	I4/mmm, No. 139
Fermi-level density of states	5.6	states/eV/f.u.
raw total energy	-63.22	eV per cell

Cell: 4.549 4.549 16.551 Å, 90.00 90.00 90.00°
Atoms (fractional coordinates):
Tm1 0.000 0.000 0.174
Tm2 0.000 0.000 0.826
Tm3 0.000 0.500 0.000
Tm4 0.000 0.500 0.500
Tm5 0.500 0.000 0.000
Tm6 0.500 0.000 0.500
Tm7 0.500 0.500 0.326
Tm8 0.500 0.500 0.674
H1 0.000 0.000 0.000
H2 0.500 0.500 0.500
Pb1 0.000 0.000 0.361
Pb2 0.000 0.000 0.639
Pb3 0.500 0.500 0.139
Pb4 0.500 0.500 0.861



No. 5
Ac4Sn3N2: relaxed, PBE-GGA.

formation energy (no corrections)	-0.79	eV per atom
SG	C2/m, No. 12
Fermi-level density of states	3.2	states/eV/f.u.
raw total energy	-52.21	eV per cell

Cell: 7.254 7.254 10.110 Å, 103.82 103.82 32.86°
Atoms (fractional coordinates):
Ac1 0.130 0.130 0.450
Ac2 0.293 0.293 0.848
Ac3 0.707 0.707 0.152
Ac4 0.870 0.870 0.550
Sn1 0.000 0.000 0.000
Sn2 0.426 0.426 0.215
Sn3 0.574 0.574 0.785
N1 0.292 0.292 0.619
N2 0.708 0.708 0.381



No. 6
ErTlV: relaxed, PBE-GGA.

SG	P4/nmm, No. 129
Fermi-level density of states	1.6	states/eV/f.u.
raw total energy	-31.83	eV per cell
formation enthalpy at 0 K	44	meV per atom

Cell: 3.314 3.314 12.629 Å, 90.00 90.00 90.00°
Atoms (fractional coordinates):
Er1 0.250 0.250 0.197
Er2 0.750 0.750 0.803
Tl1 0.250 0.250 0.600
Tl2 0.750 0.750 0.400
V1 0.250 0.250 0.960
V2 0.750 0.750 0.040



No. 7
Ca2ZrTc: relaxed, PBE-GGA.

SG	P4/mmm, No. 123
Fermi-level density of states	3.0	states/eV/f.u.
raw total energy	-21.02	eV per cell
formation enthalpy at 0 K	473	meV per atom

Cell: 4.160 4.160 5.313 Å, 90.00 90.00 90.00°
Atoms (fractional coordinates):
Ca1 0.000 0.500 0.000
Ca2 0.500 0.000 0.000
Zr1 0.000 0.000 0.500
Tc1 0.500 0.500 0.500



No. 8
Ac4AlPBr2: relaxed, PBE-GGA.

formation energy (no corrections)	-1.07	eV per atom
SG	P2/m, No. 10
Fermi-level density of states	6.5	states/eV/f.u.
raw total energy	-37.47	eV per cell

Cell: 7.914 4.511 8.152 Å, 90.00 109.03 90.00°
Atoms (fractional coordinates):
Ac1 0.231 0.000 0.213
Ac2 0.247 0.500 0.778
Ac3 0.753 0.500 0.222
Ac4 0.769 0.000 0.787
Al1 0.500 0.000 0.000
P1 0.000 0.500 0.000
Br1 0.000 0.000 0.500
Br2 0.500 0.500 0.500



No. 9
Pr10NdHo4: relaxed, PBE-GGA.

SG	I4/m, No. 87
Fermi-level density of states	25.2	states/eV/f.u.
raw total energy	-64.44	eV per cell
formation enthalpy at 0 K	429	meV per atom

Cell: 8.981 8.981 8.981 Å, 111.48 111.48 105.53°
Atoms (fractional coordinates):
Pr1 0.052 0.943 0.655
Pr2 0.057 0.713 0.109
Pr3 0.250 0.750 0.500
Pr4 0.287 0.397 0.345
Pr5 0.397 0.052 0.109
Pr6 0.603 0.948 0.891
Pr7 0.713 0.603 0.655
Pr8 0.750 0.250 0.500
Pr9 0.943 0.287 0.891
Pr10 0.948 0.057 0.345
Nd1 0.000 0.000 0.000
Ho1 0.226 0.556 0.782
Ho2 0.444 0.226 0.670
Ho3 0.556 0.774 0.330
Ho4 0.774 0.444 0.218



No. 10
CoCu2Ru: relaxed, PBE-GGA.

SG	I-4m2, No. 119
Fermi-level density of states	4.3	states/eV/f.u.
raw total energy	-47.24	eV per cell
formation enthalpy at 0 K	239	meV per atom

Cell: 3.711 3.711 7.186 Å, 90.00 90.00 90.00°
Atoms (fractional coordinates):
Co1 0.000 0.000 0.000
Co2 0.500 0.500 0.500
Cu1 0.000 0.000 0.500
Cu2 0.000 0.500 0.750
Cu3 0.500 0.000 0.250
Cu4 0.500 0.500 0.000
Ru1 0.000 0.500 0.250
Ru2 0.500 0.000 0.750



No. 11
RbTl3Cu4I12: relaxed, PBE-GGA.

formation energy (no corrections)	-0.34	eV per atom
SG	R32, No. 155
Fermi-level density of states	17.9	states/eV/f.u.
raw total energy	-49.88	eV per cell

Cell: 10.247 10.247 10.247 Å, 104.50 104.50 104.50°
Atoms (fractional coordinates):
Rb1 0.000 0.000 0.000
Tl1 0.000 0.545 0.455
Tl2 0.455 0.000 0.545
Tl3 0.545 0.455 0.000
Cu1 0.055 0.500 0.945
Cu2 0.500 0.500 0.500
Cu3 0.500 0.945 0.055
Cu4 0.945 0.055 0.500
I1 0.010 0.223 0.371
I2 0.101 0.899 0.500
I3 0.223 0.371 0.010
I4 0.345 0.655 0.500
I5 0.371 0.010 0.223
I6 0.500 0.101 0.899
I7 0.500 0.345 0.655
I8 0.629 0.777 0.990
I9 0.655 0.500 0.345
I10 0.777 0.990 0.629
I11 0.899 0.500 0.101
I12 0.990 0.629 0.777